# 1
A plane-wave DFT calculation with PBE was carried out for MoAs2SeBr after structural relaxation.

a = 4.9974 Å, b = 4.9974 Å, c = 5.1322 Å
α = 90.00°, β = 90.00°, γ = 90.00°
Closest atoms and distances in Å follow each position.
Positions (direct):
Se  0.0000  0.0000  0.5000  2 Br 2.57
Mo  0.5000  0.5000  0.5000  4 Se 3.53, 8 As 3.58
Br  0.0000  0.0000  0.0000  4 As 2.50, 2 Se 2.57
As  0.5000  0.0000  0.0000  2 Br 2.50
As  0.0000  0.5000  0.0000  2 Br 2.50

Summary:
Its energy relative to the elements, uncorrected is 1.552 eV per atom. As for the relative energy among the computed polymorphs: 30.37 kcal/mol of atoms.

# 2
A plane-wave DFT calculation with PBE was carried out for MoAs2SeBr after structural relaxation.

a = 4.9681 Å, b = 4.9681 Å, c = 4.8471 Å
α = 90.00°, β = 90.00°, γ = 90.00°
Closest atoms and distances in Å follow each position.
Positions (direct):
Se  0.5000  0.5000  0.5000  8 As 3.47, 4 Br 3.51
As  0.5000  0.0000  0.0000  2 Mo 2.48
As  0.0000  0.5000  0.0000  2 Mo 2.48
Mo  0.0000  0.0000  0.0000  2 Br 2.42, 4 As 2.48
Br  0.0000  0.0000  0.5000  2 Mo 2.42

Summary:
Its energy relative to the elements, uncorrected is 0.484 eV per atom. As for the relative energy among the computed polymorphs: 5.74 kcal/mol of atoms.

# 3
A plane-wave DFT calculation with PBE was carried out for MoAsSeBr2 after structural relaxation.

a = 5.2964 Å, b = 5.2964 Å, c = 4.9296 Å
α = 90.00°, β = 90.00°, γ = 90.00°
Closest atoms and distances in Å follow each position.
Positions (direct):
Br  0.0000  0.5000  0.0000  2 Mo 2.65
Br  0.5000  0.0000  0.0000  2 Mo 2.65
Se  0.0000  0.0000  0.5000  2 Mo 2.46
Mo  0.0000  0.0000  0.0000  2 Se 2.46, 4 Br 2.65
As  0.5000  0.5000  0.5000  8 Br 3.62, 4 Se 3.75

Summary:
Its energy relative to the elements, uncorrected is 0.465 eV per atom. As for the relative energy among the computed polymorphs: 0.00 kcal/mol of atoms.

# 4
A plane-wave DFT calculation with PBE was carried out for MoAsSe2Br after structural relaxation.

a = 4.8507 Å, b = 4.8507 Å, c = 5.1200 Å
α = 90.00°, β = 90.00°, γ = 90.00°
Closest atoms and distances in Å follow each position.
Positions (direct):
Se  0.5000  0.0000  0.0000  2 Mo 2.43
Se  0.0000  0.5000  0.0000  2 Mo 2.43
As  0.0000  0.0000  0.5000  2 Mo 2.56
Mo  0.0000  0.0000  0.0000  4 Se 2.43, 2 As 2.56
Br  0.5000  0.5000  0.5000  4 As 3.43, 8 Se 3.53

Summary:
Its energy relative to the elements, uncorrected is 0.191 eV per atom. As for the relative energy among the computed polymorphs: 0.00 kcal/mol of atoms.

# 5
A plane-wave DFT calculation with PBE was carried out for SiMoAsBr2 after structural relaxation.

a = 4.9531 Å, b = 4.9531 Å, c = 5.1376 Å
α = 90.00°, β = 90.00°, γ = 90.00°
Closest atoms and distances in Å follow each position.
Positions (direct):
As  0.0000  0.0000  0.5000  2 Si 2.57
Mo  0.5000  0.5000  0.5000  4 As 3.50, 8 Br 3.57
Br  0.5000  0.0000  0.0000  2 Si 2.48
Br  0.0000  0.5000  0.0000  2 Si 2.48
Si  0.0000  0.0000  0.0000  4 Br 2.48, 2 As 2.57

Summary:
Its energy relative to the elements, uncorrected is 0.923 eV per atom. As for the relative energy among the computed polymorphs: 4.84 kcal/mol of atoms.

# 6
A plane-wave DFT calculation with PBE was carried out for SiMoAsBr2 after structural relaxation.

a = 5.1881 Å, b = 5.1881 Å, c = 4.9615 Å
α = 90.00°, β = 90.00°, γ = 90.00°
Closest atoms and distances in Å follow each position.
Positions (direct):
Si  0.5000  0.5000  0.5000  8 Br 3.59, 4 As 3.67
As  0.0000  0.0000  0.5000  2 Mo 2.48
Mo  0.0000  0.0000  0.0000  2 As 2.48, 4 Br 2.59
Br  0.0000  0.5000  0.0000  2 Mo 2.59
Br  0.5000  0.0000  0.0000  2 Mo 2.59

Summary:
Its energy relative to the elements, uncorrected is 0.713 eV per atom. As for the relative energy among the computed polymorphs: 0.00 kcal/mol of atoms.